LaEr2Te4: relaxed, PBE-GGA.

Unit cell a=7.458 b=7.458 c=14.912 alpha=90.00 beta=90.00 gamma=146.15
Fractional positions:
1 La 0.122 0.878 0.750
2 La 0.878 0.122 0.250
3 Er 0.368 0.632 0.566
4 Er 0.368 0.632 0.934
5 Er 0.632 0.368 0.066
6 Er 0.632 0.368 0.434
7 Te 0.000 0.000 0.000
8 Te 0.000 0.000 0.500
9 Te 0.273 0.727 0.120
10 Te 0.273 0.727 0.380
11 Te 0.454 0.546 0.750
12 Te 0.546 0.454 0.250
13 Te 0.727 0.273 0.620
14 Te 0.727 0.273 0.880

Values from the calculation:
formation energy from raw total energies: -1.430 eV/atom
magnetic moment: 0.000 Bohr magnetons per cell
E: -5.232 eV per atom

Ce4PdI5: relaxed, PBE-GGA.

Unit cell a=9.953 b=9.953 c=9.207 alpha=101.36 beta=101.36 gamma=24.10
Fractional positions:
1 Ce 0.001 0.001 0.210
2 Ce 0.339 0.339 0.932
3 Ce 0.661 0.661 0.068
4 Ce 0.999 0.999 0.790
5 Pd 0.500 0.500 0.000
6 I 0.168 0.168 0.339
7 I 0.169 0.169 0.801
8 I 0.500 0.500 0.500
9 I 0.831 0.831 0.199
10 I 0.832 0.832 0.661

Values from the calculation:
formation energy from raw total energies: -1.026 eV/atom
magnetic moment: 5.261 Bohr magnetons per cell
E: -4.694 eV per atom

BaZr3: relaxed, PBE-GGA.

Unit cell a=7.045 b=7.045 c=5.014 alpha=90.00 beta=90.00 gamma=98.13
Fractional positions:
1 Ba 0.098 0.902 0.750
2 Ba 0.902 0.098 0.250
3 Zr 0.163 0.520 0.250
4 Zr 0.417 0.583 0.750
5 Zr 0.480 0.837 0.250
6 Zr 0.520 0.163 0.750
7 Zr 0.583 0.417 0.250
8 Zr 0.837 0.480 0.750

Values from the calculation:
formation enthalpy at 0 K: 0.633 eV per atom
magnetic moment: 0.000 Bohr magnetons per cell
polymorph energy (0 for the lowest one): 318 meV per atom
E: -6.258 eV per atom

AlIrPt: relaxed, PBE-GGA.

Unit cell a=4.094 b=4.094 c=4.094 alpha=60.00 beta=60.00 gamma=60.00
Fractional positions:
1 Al 0.000 0.000 0.000
2 Ir 0.250 0.250 0.250
3 Pt 0.750 0.750 0.750

Values from the calculation:
formation enthalpy at 0 K: -0.477 eV per atom
magnetic moment: 0.000 Bohr magnetons per cell
polymorph energy (0 for the lowest one): 119 meV per atom
E: -6.692 eV per atom

ErPuMgHg: relaxed, PBE-GGA.

Unit cell a=5.294 b=5.294 c=5.294 alpha=60.00 beta=60.00 gamma=60.00
Fractional positions:
1 Er 0.000 0.000 0.000
2 Pu 0.500 0.500 0.500
3 Mg 0.250 0.250 0.250
4 Hg 0.750 0.750 0.750

Values from the calculation:
formation enthalpy at 0 K: -0.060 eV per atom
magnetic moment: 6.196 Bohr magnetons per cell
E: -5.258 eV per atom

NdSmZnGe: relaxed, PBE-GGA.

Unit cell a=5.162 b=5.162 c=5.162 alpha=60.00 beta=60.00 gamma=60.00
Fractional positions:
1 Nd 0.000 0.000 0.000
2 Sm 0.500 0.500 0.500
3 Zn 0.250 0.250 0.250
4 Ge 0.750 0.750 0.750

Values from the calculation:
formation enthalpy at 0 K: -0.521 eV per atom
magnetic moment: 0.000 Bohr magnetons per cell
polymorph energy (0 for the lowest one): 67 meV per atom
E: -4.366 eV per atom

ScTcAu3: relaxed, PBE-GGA.

Unit cell a=4.984 b=4.984 c=4.984 alpha=90.00 beta=90.00 gamma=90.00
Fractional positions:
1 Sc 0.000 0.000 0.000
2 Tc 0.500 0.500 0.500
3 Au 0.000 0.500 0.500
4 Au 0.500 0.000 0.500
5 Au 0.500 0.500 0.000

Values from the calculation:
formation enthalpy at 0 K: 0.764 eV per atom
magnetic moment: 0.721 Bohr magnetons per cell
polymorph energy (0 for the lowest one): 0 meV per atom
E: -4.542 eV per atom

Te2IrRh: relaxed, PBE-GGA.

Unit cell a=6.709 b=6.709 c=6.709 alpha=33.57 beta=33.57 gamma=33.57
Fractional positions:
1 Te 0.249 0.249 0.249
2 Te 0.751 0.751 0.751
3 Ir 0.500 0.500 0.500
4 Rh 0.000 0.000 0.000

Values from the calculation:
formation energy from raw total energies: 0.103 eV/atom
magnetic moment: 0.000 Bohr magnetons per cell
polymorph energy (0 for the lowest one): 182 meV per atom
E: -5.521 eV per atom

Please write out number 2 again, unchanged.
Ce4PdI5: relaxed, PBE-GGA.

Unit cell a=9.953 b=9.953 c=9.207 alpha=101.36 beta=101.36 gamma=24.10
Fractional positions:
1 Ce 0.001 0.001 0.210
2 Ce 0.339 0.339 0.932
3 Ce 0.661 0.661 0.068
4 Ce 0.999 0.999 0.790
5 Pd 0.500 0.500 0.000
6 I 0.168 0.168 0.339
7 I 0.169 0.169 0.801
8 I 0.500 0.500 0.500
9 I 0.831 0.831 0.199
10 I 0.832 0.832 0.661

Values from the calculation:
formation energy from raw total energies: -1.026 eV/atom
magnetic moment: 5.261 Bohr magnetons per cell
E: -4.694 eV per atom

Question: Look up the E of the fourth one.
Answer: -6.692 eV per atom

Question: Among the records above, which one has the highest E?
Answer: NdSmZnGe

Question: Which of these has the lowest E?
Answer: AlIrPt